No. 1
Below is an optimized crystal structure of LuZnIr, with properties calculated at the PBE level.

```
3
Lattice="0.000 3.189 3.189 3.189 0.000 3.189 3.189 3.189 0.000" Properties=species:S:1:pos:R:3 pbc="T T T"
Ir 1.595 1.595 1.595
Lu 0.000 0.000 0.000
Zn 4.784 4.784 4.784
```

Calculated values
**Total magnetization**: 0.001 μB per cell
**ΔH_f (0 K)**: 6 kJ/mol of formula units



No. 2
Below is an optimized crystal structure of LuZnIr2, with properties calculated at the PBE level.

```
4
Lattice="3.886 -0.190 2.379 1.393 3.629 2.384 -0.119 -0.084 4.558" Properties=species:S:1:pos:R:3 pbc="T T T"
Ir 0.000 0.000 0.000
Ir 3.870 2.516 6.990
Lu 1.290 0.839 2.330
Zn 2.580 1.678 4.660
```

Calculated values
**Total magnetization**: 0.386 μB per cell
**ΔH_f (0 K)**: -87 kJ/mol of formula units



No. 3
Below is an optimized crystal structure of MgIr, with properties calculated at the PBE level.

```
8
Lattice="-3.149 -4.654 -0.311 3.050 1.030 4.616 -3.477 2.232 1.799" Properties=species:S:1:pos:R:3 pbc="T T T"
Ir 0.000 0.000 0.000
Ir -3.843 -2.580 1.419
Ir -2.286 -0.279 1.573
Ir -2.335 -2.070 3.701
Mg -1.564 -2.336 -0.123
Mg -1.612 -4.109 1.982
Mg -0.072 -1.832 2.135
Mg -0.755 0.252 3.873
```

Calculated values
**Total magnetization**: 0.010 μB per cell



No. 4
Below is an optimized crystal structure of MgIr, with properties calculated at the PBE level.

```
4
Lattice="-0.912 2.359 3.602 -3.002 -0.776 -0.252 0.708 -3.551 2.505" Properties=species:S:1:pos:R:3 pbc="T T T"
Ir -0.063 -0.237 1.484
Ir -0.141 -0.955 4.624
Mg -1.997 0.437 3.242
Mg -1.210 -2.405 2.614
```

Calculated values
**Total magnetization**: 0.021 μB per cell



No. 5
Below is an optimized crystal structure of MgIr, with properties calculated at the PBE level.

```
4
Lattice="-0.740 4.314 0.609 -2.056 -2.155 -3.264 -3.869 -1.111 3.171" Properties=species:S:1:pos:R:3 pbc="T T T"
Ir -3.311 -0.485 -0.585
Ir -3.628 -1.042 2.973
Mg -1.692 -0.486 1.387
Mg -5.243 -1.040 0.999
```

Calculated values
**Total magnetization**: 0.987 μB per cell



No. 6
Below is an optimized crystal structure of MgIr, with properties calculated at the PBE level.

```
10
Lattice="0.550 -1.037 4.764 4.419 -5.865 0.740 3.632 2.759 0.182" Properties=species:S:1:pos:R:3 pbc="T T T"
Ir 1.140 -1.630 1.972
Ir 2.157 -3.106 4.060
Ir 3.875 -5.332 3.529
Ir 2.745 0.127 0.538
Ir 3.828 -1.434 2.599
Mg 0.042 -0.056 0.011
Mg 2.725 -3.682 1.439
Mg 2.249 0.605 3.197
Mg 4.867 -2.936 4.651
Mg 5.511 -3.613 2.064
```

Calculated values
**Total magnetization**: 0.009 μB per cell



No. 7
Below is an optimized crystal structure of Mg44Ir7, with properties calculated at the PBE level.

```
102
Lattice="12.068 -1.353 7.323 -0.319 -0.466 14.169 2.869 -12.130 6.762" Properties=species:S:1:pos:R:3 pbc="T T T"
Ir 9.267 -2.063 7.237
Ir 1.004 -1.472 11.804
Ir 1.217 -1.161 2.352
Ir 5.098 -4.865 9.855
Ir 4.905 -5.147 18.426
Ir 12.398 -5.683 14.285
Ir 12.522 -8.619 18.961
Ir 8.463 -8.328 21.205
Ir 12.418 -8.771 23.605
Ir 3.130 -9.253 6.862
Ir 13.463 -12.594 21.177
Ir 9.508 -12.151 18.777
Ir 9.403 -12.304 23.421
Ir 6.833 -12.202 13.945
Mg 2.533 -0.392 4.633
Mg 6.796 -0.870 7.221
Mg 2.420 -0.556 9.639
Mg 8.703 -2.366 16.053
Mg 8.781 -2.252 12.573
Mg 5.738 -2.034 14.254
Mg 6.019 -2.472 11.211
Mg 11.181 -3.051 14.344
Mg 5.882 -2.671 17.272
Mg 2.041 -2.111 7.073
Mg 4.661 -2.298 5.625
Mg 4.593 -2.397 8.621
Mg 11.585 -3.614 21.430
Mg 2.429 -2.811 14.154
Mg 10.353 -3.378 9.775
Mg 10.148 -3.676 18.839
Mg 3.220 -2.906 3.036
Mg 7.483 -3.384 5.624
Mg 0.550 -2.715 4.512
Mg 7.414 -3.485 8.678
Mg 0.437 -2.880 9.518
Mg 3.038 -3.171 11.097
Mg 7.502 -4.849 14.202
Mg 12.557 -5.716 19.441
Mg 9.166 -5.473 21.315
Mg 12.470 -5.844 23.319
Mg 7.590 -5.014 11.161
Mg 10.108 -5.296 12.689
Mg 4.873 -4.819 12.663
Mg 10.038 -5.398 15.797
Mg 4.807 -4.916 15.619
Mg 7.453 -5.213 17.225
Mg 2.715 -4.577 5.506
Mg 5.267 -4.864 7.055
Mg 2.648 -4.676 8.503
Mg 10.014 -6.761 9.709
Mg 9.812 -7.056 18.668
Mg 2.182 -6.201 14.037
Mg 7.129 -6.535 8.631
Mg 12.292 -7.113 11.763
Mg 2.815 -6.226 11.015
Mg 12.181 -7.276 16.699
Mg 2.678 -6.425 17.077
Mg 6.881 -6.896 19.628
Mg 11.223 -7.603 21.291
Mg 5.572 -7.377 11.038
Mg 10.737 -7.956 14.172
Mg 5.436 -7.577 17.102
Mg 8.285 -7.717 12.381
Mg 5.240 -7.499 14.064
Mg 8.207 -7.831 15.864
Mg 4.233 -7.192 5.425
Mg 1.563 -7.001 6.901
Mg 4.164 -7.292 8.480
Mg 10.174 -9.708 19.666
Mg 12.779 -10.000 21.247
Mg 10.105 -9.809 22.725
Mg 13.740 -10.043 16.693
Mg 5.754 -9.471 21.106
Mg 13.534 -10.343 25.828
Mg 10.719 -9.741 11.370
Mg 7.754 -9.409 9.571
Mg 10.595 -9.921 16.848
Mg 2.965 -9.066 12.218
Mg 7.552 -9.703 18.530
Mg 2.887 -9.180 15.698
Mg 6.171 -9.908 12.449
Mg 8.817 -10.205 14.055
Mg 6.101 -10.010 15.557
Mg 12.188 -11.137 14.101
Mg 4.264 -10.570 18.480
Mg 4.469 -10.272 9.416
Mg 12.277 -11.460 18.841
Mg 8.181 -11.167 21.105
Mg 12.171 -11.614 23.527
Mg 8.356 -11.724 11.523
Mg 4.042 -11.415 13.908
Mg 8.245 -11.886 16.459
Mg 10.793 -12.327 21.126
Mg 13.858 -13.224 26.788
Mg 4.297 -12.152 20.985
Mg 14.111 -12.855 15.561
Mg 11.221 -12.993 16.539
Mg 14.525 -13.364 18.544
Mg 6.626 -12.664 19.079
Mg 14.406 -13.536 23.800
Mg 6.539 -12.792 22.957
Mg 11.016 -13.294 25.674
```

Calculated values
**Total magnetization**: 0.139 μB per cell



No. 8
Below is an optimized crystal structure of MgIr, with properties calculated at the PBE level.

```
16
Lattice="-0.750 0.968 -4.935 -11.773 -0.178 1.755 0.062 4.491 0.871" Properties=species:S:1:pos:R:3 pbc="T T T"
Ir -0.453 0.082 -0.391
Ir -5.570 0.005 0.371
Ir -7.839 0.305 -1.011
Ir -10.468 0.265 -0.619
Ir -2.274 3.093 -3.770
Ir -4.903 3.054 -3.378
Ir -6.422 2.385 0.174
Ir -11.539 2.308 0.937
Mg -1.373 0.553 -2.750
Mg -2.944 -0.043 0.432
Mg -5.392 0.492 -2.151
Mg -9.521 0.759 -3.234
Mg -3.221 2.599 -1.155
Mg -7.350 2.866 -2.238
Mg -9.048 2.434 0.113
Mg -11.369 2.806 -1.639
```

Calculated values
**Total magnetization**: 0.006 μB per cell



No. 9
Below is an optimized crystal structure of MgIr, with properties calculated at the PBE level.

```
12
Lattice="-2.603 3.394 2.438 2.515 -3.265 7.229 3.611 2.772 -0.004" Properties=species:S:1:pos:R:3 pbc="T T T"
Ir -2.575 3.358 2.446
Ir -0.872 1.140 2.382
Ir 0.996 2.442 0.791
Ir 0.096 3.618 3.163
Ir 0.863 2.622 5.709
Ir 2.565 0.406 5.640
Mg -1.777 2.322 4.700
Mg -0.106 0.146 4.840
Mg 1.641 -2.130 4.904
Mg 0.866 -1.116 7.336
Mg 1.755 1.457 3.185
Mg 1.740 1.484 8.102
```

Calculated values
**Total magnetization**: 0.018 μB per cell



No. 10
Below is an optimized crystal structure of MgIr, with properties calculated at the PBE level.

```
24
Lattice="14.402 0.000 0.000 0.000 5.732 0.000 0.000 0.000 4.598" Properties=species:S:1:pos:R:3 pbc="T T T"
Ir 9.686 0.037 0.000
Ir 7.028 1.359 0.000
Ir 14.229 2.940 0.000
Ir 2.485 4.262 0.000
Ir 7.190 4.383 0.000
Ir 14.391 5.648 0.000
Ir 11.116 0.037 2.299
Ir 13.774 1.359 2.299
Ir 6.573 2.940 2.299
Ir 3.915 4.262 2.299
Ir 13.613 4.384 2.299
Ir 6.412 5.648 2.299
Mg 12.116 1.329 0.000
Mg 2.146 1.483 0.000
Mg 9.347 2.816 0.000
Mg 4.916 2.970 0.000
Mg 12.002 4.392 0.000
Mg 4.801 5.639 0.000
Mg 8.686 1.329 2.299
Mg 4.255 1.483 2.299
Mg 11.456 2.817 2.299
Mg 1.485 2.970 2.299
Mg 8.801 4.392 2.299
Mg 1.600 5.639 2.299
```

Calculated values
**Total magnetization**: 0.029 μB per cell



No. 11
Below is an optimized crystal structure of MgIr, with properties calculated at the PBE level.

```
16
Lattice="-1.406 3.206 -3.362 2.837 -7.205 -8.057 -4.219 -1.759 0.087" Properties=species:S:1:pos:R:3 pbc="T T T"
Ir -0.660 1.316 -5.374
Ir 0.363 -1.103 -4.698
Ir 0.016 -0.401 -7.295
Ir 1.749 -4.634 -8.802
Ir -2.188 -0.977 -5.709
Ir -0.455 -5.209 -7.216
Ir -0.801 -4.507 -9.813
Ir 0.222 -6.927 -9.137
Mg -0.330 0.660 -2.668
Mg 1.079 -2.920 -6.671
Mg 2.111 -5.367 -6.112
Mg 2.809 -7.140 -8.095
Mg -2.945 0.935 -3.786
Mg -1.841 -1.677 -3.053
Mg -1.143 -3.450 -5.037
Mg -1.518 -2.691 -7.840
```

Calculated values
**Total magnetization**: 0.008 μB per cell



No. 12
Below is an optimized crystal structure of MgIr, with properties calculated at the PBE level.

```
8
Lattice="4.824 0.000 0.000 0.000 5.668 0.000 0.000 0.000 4.579" Properties=species:S:1:pos:R:3 pbc="T T T"
Ir 0.075 0.000 0.000
Ir 1.523 0.000 2.289
Ir 4.020 1.342 2.289
Ir 4.020 4.326 2.289
Mg 2.460 1.300 0.000
Mg 4.720 2.834 0.000
Mg 2.460 4.368 0.000
Mg 1.625 2.834 2.289
```

Calculated values
**Total magnetization**: 0.004 μB per cell



What are the VASP energy values for these records? In order: -14.6 -24.4 -42.8 -21.9 -17.1 -53.9 -282.1 -86.6 -64.8 -127.7 -87.1 -43.0 eV for the cell shown.